1.
A plane-wave DFT calculation with PBE was carried out for crystalline CaRePt2 at its relaxed geometry.

Cell lengths 2.8201, 3.7746, 6.8366 Å; angles 90.00, 90.00, 90.00 degrees
Fractional positions:
Ca 0.0000 0.0000 0.0000
Re 0.0000 0.0000 0.5000
Pt 0.5000 0.5000 0.2990
Pt 0.5000 0.5000 0.7010

Properties
As for the density: 14.07 Mg/m³. The calculation puts the total magnetization at 0.00 μB/f.u. Its space group is Pmmm (47). As for the offset from the most stable computed form: 0.23 eV per formula unit. Its formation energy is -18.6 kJ per mole of atoms. The crystal system is orthorhombic.

***

2.
A plane-wave DFT calculation with PBE was carried out for crystalline CaRePt2 at its relaxed geometry.

Cell lengths 10.2511, 2.7915, 4.9504 Å; angles 90.00, 104.07, 90.00 degrees
Fractional positions:
Ca 0.0000 0.0000 0.0000
Ca 0.5000 0.5000 0.0000
Re 0.2120 0.0000 0.6138
Re 0.7120 0.5000 0.6138
Pt 0.2537 0.5000 0.1318
Pt 0.4758 0.0000 0.5009
Pt 0.7537 0.0000 0.1318
Pt 0.9758 0.5000 0.5009

Properties
As for the density: 14.90 Mg/m³. The calculation puts the total magnetization at 0.00 μB/f.u. Its space group is Cm (8). As for the offset from the most stable computed form: 0.34 eV per formula unit. Its formation energy is -15.9 kJ per mole of atoms. The crystal system is monoclinic.

***

3.
A plane-wave DFT calculation with PBE was carried out for crystalline CaRePt2 at its relaxed geometry.

Cell lengths 2.8225, 4.7485, 5.9653 Å; angles 113.34, 103.61, 90.02 degrees
Fractional positions:
Ca 0.0000 0.0000 0.0000
Re 0.2161 0.7177 0.4328
Pt 0.5035 0.5037 0.0080
Pt 0.7705 0.2689 0.5375

Properties
As for the density: 14.43 Mg/m³. The calculation puts the total magnetization at 0.00 μB/f.u. Its space group is P1 (1). As for the offset from the most stable computed form: 0.71 eV per formula unit. Its formation energy is -7.0 kJ per mole of atoms. The crystal system is triclinic.

***

Copy entry 3 word for word.
A plane-wave DFT calculation with PBE was carried out for crystalline CaRePt2 at its relaxed geometry.

Cell lengths 2.8225, 4.7485, 5.9653 Å; angles 113.34, 103.61, 90.02 degrees
Fractional positions:
Ca 0.0000 0.0000 0.0000
Re 0.2161 0.7177 0.4328
Pt 0.5035 0.5037 0.0080
Pt 0.7705 0.2689 0.5375

Properties
As for the density: 14.43 Mg/m³. The calculation puts the total magnetization at 0.00 μB/f.u. Its space group is P1 (1). As for the offset from the most stable computed form: 0.71 eV per formula unit. Its formation energy is -7.0 kJ per mole of atoms. The crystal system is triclinic.

***

Among the records above, which one has the highest offset from the most stable computed form? number 3

***

What is the total magnetization in the first record? 0.00 μB/f.u.

***

Which of these has the highest offset from the most stable computed form? number 3